Here is a relaxed structure of Li2ZrRe from Alexandria. Energies are from PBE.

Lattice parameters (Å, degrees): 2.623 4.402 6.040 90.00 90.00 90.00
Sites, in units of the cell vectors:
Li 0.000 0.000 0.000
Li 0.500 0.500 0.224
Zr 0.500 0.500 0.696
Re 0.000 0.000 0.470

total magnetic moment: 0.00 μB per cell
formation energy: 292.9 meV per atom

---

Here is a relaxed structure of Li2ZrRe from Alexandria. Energies are from PBE.

Lattice parameters (Å, degrees): 3.751 3.751 21.035 90.00 90.00 90.00
Sites, in units of the cell vectors:
Li 0.213 0.750 0.125
Li 0.250 0.213 0.875
Li 0.250 0.287 0.375
Li 0.287 0.750 0.625
Li 0.713 0.250 0.625
Li 0.750 0.713 0.375
Li 0.750 0.787 0.875
Li 0.787 0.250 0.125
Zr 0.000 0.000 0.500
Zr 0.000 0.500 0.750
Zr 0.500 0.000 0.250
Zr 0.500 0.500 0.000
Re 0.000 0.000 0.000
Re 0.000 0.500 0.250
Re 0.500 0.000 0.750
Re 0.500 0.500 0.500

total magnetic moment: 0.00 μB per cell
formation energy: 519.8 meV per atom

---

Here is a relaxed structure of Li2ZrRe from Alexandria. Energies are from PBE.

Lattice parameters (Å, degrees): 6.430 6.430 6.430 90.00 90.00 90.00
Sites, in units of the cell vectors:
Li 0.000 0.000 0.000
Li 0.000 0.500 0.500
Li 0.250 0.250 0.250
Li 0.250 0.750 0.750
Li 0.500 0.000 0.500
Li 0.500 0.500 0.000
Li 0.750 0.250 0.750
Li 0.750 0.750 0.250
Zr 0.250 0.250 0.750
Zr 0.250 0.750 0.250
Zr 0.750 0.250 0.250
Zr 0.750 0.750 0.750
Re 0.000 0.000 0.500
Re 0.000 0.500 0.000
Re 0.500 0.000 0.000
Re 0.500 0.500 0.500

total magnetic moment: 0.00 μB per cell
formation energy: 419.6 meV per atom

---

Here is a relaxed structure of LiZr2Re from Alexandria. Energies are from PBE.

Lattice parameters (Å, degrees): 6.632 6.632 6.632 90.00 90.00 90.00
Sites, in units of the cell vectors:
Li 0.000 0.000 0.000
Li 0.000 0.500 0.500
Li 0.500 0.000 0.500
Li 0.500 0.500 0.000
Zr 0.250 0.250 0.250
Zr 0.250 0.250 0.750
Zr 0.250 0.750 0.250
Zr 0.250 0.750 0.750
Zr 0.750 0.250 0.250
Zr 0.750 0.250 0.750
Zr 0.750 0.750 0.250
Zr 0.750 0.750 0.750
Re 0.000 0.000 0.500
Re 0.000 0.500 0.000
Re 0.500 0.000 0.000
Re 0.500 0.500 0.500

total magnetic moment: 0.00 μB per cell
formation energy: -143.7 meV per atom